The following is a PBE-GGA calculation of BiH after structural relaxation, from Alexandria via LeMat-Bulk.

- excess energy over the best structure of this formula in the dataset (meV/atom) = 619
- VASP energy (eV/atom) = -2.95
- space-group type = No. 225

abc: 5.127 5.127 5.127
angles: 90.00 90.00 90.00
Atoms (fractional coordinates):
Bi 0.000 0.000 0.000
Bi 0.000 0.500 0.500
Bi 0.500 0.000 0.500
Bi 0.500 0.500 0.000
H 0.000 0.000 0.500
H 0.000 0.500 0.000
H 0.500 0.000 0.000
H 0.500 0.500 0.500